Entry 1:
A geometry-optimized Zr2Be9Ni structure, computed with PBE.

The structure in extended XYZ format:
```
12
Lattice="4.5592 0.0000 0.0000 2.2796 3.9484 0.0000 2.2796 1.3161 7.2838" Properties=species:S:1:pos:R:3 pbc="T T T"
Be 5.6822 3.2806 5.5709
Be 3.4362 3.2806 5.5709
Zr 2.2796 1.3161 4.1272
Be 4.5592 2.6322 7.2638
Be 4.5592 2.6322 3.6419
Ni 0.0000 0.0000 0.0000
Be 4.5592 2.6322 0.0200
Be 4.5592 1.3355 5.5709
Be 3.4362 1.9839 1.7129
Be 5.6822 1.9839 1.7129
Zr 6.8388 3.9484 3.1566
Be 4.5592 3.9290 1.7129
```

Summary:
DFT formation energy = 0.0126 eV per atom

---

Entry 2:
A geometry-optimized Ac6Ge5Br structure, computed with PBE.

The structure in extended XYZ format:
```
12
Lattice="-1.9428 -3.1004 7.0378 -3.7707 -6.9146 -1.0584 4.1850 -6.7988 -0.3255" Properties=species:S:1:pos:R:3 pbc="T T T"
Ac -0.3430 -5.2080 5.0110
Ac -0.2863 -9.7344 4.5470
Ac -1.2422 -7.0794 1.1069
Ge 0.1537 -4.5798 -0.4608
Ge -2.8568 -5.0075 2.9897
Ac -1.1854 -11.6058 0.6429
Ge 1.2706 -7.2795 3.1282
Ge 0.2606 -9.1337 -0.9231
Ac -4.2602 -7.4665 4.4749
Ac -1.4533 -2.5485 1.5045
Br 0.0000 0.0000 0.0000
Ge -2.7991 -9.5344 2.5257
```

Summary:
uncorrected formation energy = -0.797 eV per atom

---

Entry 3:
A geometry-optimized RhBr2 structure, computed with PBE.

The structure in extended XYZ format:
```
12
Lattice="6.3690 0.0000 0.0000 0.0000 6.3690 0.0000 0.0000 0.0000 6.3690" Properties=species:S:1:pos:R:3 pbc="T T T"
Rh 0.0000 3.1845 3.1845
Br 2.1878 2.1878 4.1812
Br 2.1878 0.9967 0.9967
Br 5.3723 2.1878 5.3723
Br 0.9967 4.1812 0.9967
Rh 3.1845 0.0000 3.1845
Br 4.1812 4.1812 2.1878
Rh 0.0000 0.0000 0.0000
Br 5.3723 0.9967 2.1878
Br 0.9967 5.3723 4.1812
Rh 3.1845 3.1845 0.0000
Br 4.1812 5.3723 5.3723
```

Summary:
uncorrected formation energy = -0.105 eV per atom

---

Entry 4:
A geometry-optimized Na2CdPt structure, computed with PBE.

The structure in extended XYZ format:
```
8
Lattice="-1.6867 2.8386 4.4893 -5.2679 -2.4679 -0.4187 3.1199 -3.5505 3.4171" Properties=species:S:1:pos:R:3 pbc="T T T"
Cd -2.2125 -4.3080 3.6222
Cd -1.6221 1.1283 3.8656
Na -1.4396 -2.9206 6.4943
Na -2.3950 -0.2591 0.9935
Na 0.7168 -0.6607 2.4166
Pt -1.9173 -1.5899 3.7439
Na -4.5514 -2.5190 5.0712
Pt -1.0740 -3.0092 1.4992
```

Summary:
DFT formation energy = -0.1548 eV per atom
ΔE to the lowest computed polymorph = 0.0 kJ/mol of atoms